*i*
# GeBOs

A relaxed structure of GeBOs (PBE, Alexandria).

**N(E_F)**: 0.8 states/eV/f.u.
**Total magnetization**: 0.0 Bohr magnetons per cell
**ρ**: 11.075 Mg/m³
**Crystal system**: triclinic
**SG**: P-1, No. 2

Cell: 4.037 4.234 5.447 Å, 68.11 74.82 75.20°
Fractional positions:
Ge 0.820 0.750 0.558
Ge 0.180 0.250 0.442
B 0.676 0.826 0.007
B 0.324 0.174 0.993
Os 0.766 0.250 0.110
Os 0.234 0.750 0.890


*ii*
# GeBOs

A relaxed structure of GeBOs (PBE, Alexandria).

**N(E_F)**: 1.0 states/eV/f.u.
**Total magnetization**: 0.0 Bohr magnetons per cell
**ρ**: 11.770 Mg/m³
**Crystal system**: orthorhombic
**SG**: Pmm2, No. 25

Cell: 2.931 5.730 4.599 Å, 90.00 90.00 90.00°
Fractional positions:
Ge 0.500 0.000 0.219
Ge 0.000 0.500 0.334
B 0.500 0.000 0.666
B 0.500 0.500 0.685
Os 0.000 0.247 0.863
Os 0.000 0.753 0.863


*iii*
# GeBOs

A relaxed structure of GeBOs (PBE, Alexandria).

**N(E_F)**: 0.8 states/eV/f.u.
**Total magnetization**: 0.0 Bohr magnetons per cell
**ρ**: 10.960 Mg/m³
**Crystal system**: triclinic
**SG**: P-1, No. 2

Cell: 4.010 4.183 5.203 Å, 79.10 83.38 76.01°
Fractional positions:
Ge 0.313 0.264 0.539
Ge 0.687 0.736 0.461
B 0.321 0.178 0.004
B 0.679 0.822 0.996
Os 0.189 0.676 0.118
Os 0.811 0.324 0.882


*iv*
# GeBOs

A relaxed structure of GeBOs (PBE, Alexandria).

**N(E_F)**: 0.2 states/eV/f.u.
**Total magnetization**: 0.0 Bohr magnetons per cell
**ρ**: 12.073 Mg/m³
**Crystal system**: triclinic
**SG**: P1, No. 1

Cell: 3.022 4.237 6.270 Å, 94.97 97.36 107.46°
Fractional positions:
Ge 0.384 0.931 0.151
Ge 0.962 0.482 0.394
B 0.676 0.686 0.680
B 0.937 0.083 0.843
Os 0.363 0.076 0.578
Os 0.659 0.462 0.985


Calculated relative energies: *i* 0; *ii* 42; *iii* 7; *iv* 112, given in meV per atom